A plane-wave DFT calculation with GGA-PBE was carried out for a geometry-optimized LiCrFeRh structure.

Results
Final energy (eV/atom): -6.77
E_form (eV/atom): 0.071
D(E_F) (states/eV/f.u.): 2.3
SG: F-43m, No. 216

Cell: 5.6988 5.6988 5.6988 Å, 90.00 90.00 90.00°
Fractional positions:
Li  0.0000  0.0000  0.0000
Li  0.0000  0.5000  0.5000
Li  0.5000  0.0000  0.5000
Li  0.5000  0.5000  0.0000
Cr  0.0000  0.0000  0.5000
Cr  0.0000  0.5000  0.0000
Cr  0.5000  0.0000  0.0000
Cr  0.5000  0.5000  0.5000
Fe  0.2500  0.2500  0.7500
Fe  0.2500  0.7500  0.2500
Fe  0.7500  0.2500  0.2500
Fe  0.7500  0.7500  0.7500
Rh  0.2500  0.2500  0.2500
Rh  0.2500  0.7500  0.7500
Rh  0.7500  0.2500  0.7500
Rh  0.7500  0.7500  0.2500